Density functional theory data (PBE) for an optimized crystal structure of K2IrPt.

Results
Total magnetization ... 0.00 μB per formula unit
ΔE_f ... 0.34 eV per atom
ρ ... 6.5 g cm⁻³
Final energy ... -3.938 eV per atom
Crystal system ... orthorhombic

Structure (CIF):
```
data_K2IrPt
_space_group_name_H-M_alt 'I m m 2'
_space_group_IT_number 44
_cell_length_a 4.528
_cell_length_b 5.631
_cell_length_c 9.258
_cell_angle_alpha 90.00
_cell_angle_beta 90.00
_cell_angle_gamma 90.00
loop_
_space_group_symop_operation_xyz
'x,y,z'
'-x,-y,z'
'-x,y,z'
'x,-y,z'
'x+1/2,y+1/2,z+1/2'
'-x+1/2,-y+1/2,z+1/2'
'-x+1/2,y+1/2,z+1/2'
'x+1/2,-y+1/2,z+1/2'
loop_
_atom_site_label
_atom_site_type_symbol
_atom_site_fract_x
_atom_site_fract_y
_atom_site_fract_z
_atom_site_occupancy
K1 K 0.000 0.000 0.000 1
K2 K 0.000 0.500 0.194 1
Ir1 Ir 0.000 0.500 0.805 1
Pt1 Pt 0.000 0.000 0.392 1
```


Density functional theory data (PBE) for an optimized crystal structure of CuGeP.

Results
Total magnetization ... 0.00 μB per formula unit
ΔE_f ... 0.20 eV per atom
ρ ... 5.6 g cm⁻³
Final energy ... -4.503 eV per atom
Crystal system ... triclinic

Structure (CIF):
```
data_CuGeP
_space_group_name_H-M_alt 'P 1'
_space_group_IT_number 1
_cell_length_a 3.376
_cell_length_b 3.377
_cell_length_c 8.760
_cell_angle_alpha 89.78
_cell_angle_beta 89.99
_cell_angle_gamma 89.99
loop_
_space_group_symop_operation_xyz
'x,y,z'
loop_
_atom_site_label
_atom_site_type_symbol
_atom_site_fract_x
_atom_site_fract_y
_atom_site_fract_z
_atom_site_occupancy
Cu1 Cu 0.000 0.000 0.000 1
Cu2 Cu 0.500 0.499 0.115 1
Ge1 Ge 0.498 0.499 0.829 1
Ge2 Ge 0.997 0.994 0.286 1
P1 P 0.497 0.493 0.388 1
P2 P 0.998 0.000 0.727 1
```


> The lowest final energy belongs to which entry?

CuGeP


> Which value of final energy does entry 2 give?

-4.503 eV per atom


> Which value of final energy does entry 2 give?

-4.503 eV per atom


> Which of these has the highest ΔE_f?

K2IrPt